No. 1
The following is a DFT calculation (GGA-PBEsol) of a relaxed structure of CaFeP2. Values from VASP.

Values from the calculation:
SG: Immm, No. 71
DFT formation energy: -0.466 eV/atom

Geometry as Quantum ESPRESSO input:
```
&SYSTEM
  ibrav = 0, nat = 4, ntyp = 3
/
ATOMIC_SPECIES
Ca 40.08 Ca.upf
Fe 55.84 Fe.upf
P 30.97 P.upf
CELL_PARAMETERS angstrom
-1.883 2.789 3.224
1.883 -2.789 3.224
1.883 2.789 -3.224
ATOMIC_POSITIONS angstrom
Ca 0.000 0.000 0.000
Fe 0.000 0.000 3.224
P 1.883 0.000 2.096
P 0.000 2.789 1.129
```

=====

No. 2
The following is a DFT calculation (GGA-PBEsol) of a relaxed structure of CaMg2Re. Values from VASP.

Values from the calculation:
SG: P4/mmm, No. 123
DFT formation energy: 0.637 eV/atom

Geometry as Quantum ESPRESSO input:
```
&SYSTEM
  ibrav = 0, nat = 4, ntyp = 3
/
ATOMIC_SPECIES
Ca 40.08 Ca.upf
Mg 24.30 Mg.upf
Re 186.21 Re.upf
CELL_PARAMETERS angstrom
4.433 0.000 0.000
0.000 4.433 0.000
0.000 0.000 4.045
ATOMIC_POSITIONS angstrom
Ca 0.000 0.000 0.000
Mg 0.000 2.217 2.023
Mg 2.217 0.000 2.023
Re 2.217 2.217 0.000
```

=====

No. 3
The following is a DFT calculation (GGA-PBEsol) of a relaxed structure of MgFe2Ni2. Values from VASP.

Values from the calculation:
SG: I4/mmm, No. 139
DFT formation energy: 0.313 eV/atom

Geometry as Quantum ESPRESSO input:
```
&SYSTEM
  ibrav = 0, nat = 5, ntyp = 3
/
ATOMIC_SPECIES
Mg 24.30 Mg.upf
Fe 55.84 Fe.upf
Ni 58.69 Ni.upf
CELL_PARAMETERS angstrom
-1.858 1.858 4.796
1.858 -1.858 4.796
1.858 1.858 -4.796
ATOMIC_POSITIONS angstrom
Mg 0.000 0.000 0.000
Fe 0.000 0.000 3.741
Fe 0.000 0.000 5.851
Ni 1.858 0.000 2.398
Ni 0.000 1.858 2.398
```

=====

No. 4
The following is a DFT calculation (GGA-PBEsol) of a relaxed structure of YFe2Se. Values from VASP.

Values from the calculation:
Formation energy (no corrections): 0.00 eV per formula unit
SG: P4/mmm, No. 123

Geometry as Quantum ESPRESSO input:
```
&SYSTEM
  ibrav = 0, nat = 4, ntyp = 3
/
ATOMIC_SPECIES
Y 88.91 Y.upf
Fe 55.84 Fe.upf
Se 78.96 Se.upf
CELL_PARAMETERS angstrom
3.455 0.000 0.000
0.000 3.455 0.000
0.000 0.000 5.605
ATOMIC_POSITIONS angstrom
Y 0.000 0.000 0.000
Fe 1.727 1.727 1.645
Fe 1.727 1.727 3.961
Se 0.000 0.000 2.803
```

=====

No. 5
The following is a DFT calculation (GGA-PBEsol) of a relaxed structure of BeTl2NiIr. Values from VASP.

Values from the calculation:
SG: P4/mmm, No. 123
DFT formation energy: 0.953 eV/atom

Geometry as Quantum ESPRESSO input:
```
&SYSTEM
  ibrav = 0, nat = 5, ntyp = 4
/
ATOMIC_SPECIES
Be 9.01 Be.upf
Tl 204.38 Tl.upf
Ni 58.69 Ni.upf
Ir 192.22 Ir.upf
CELL_PARAMETERS angstrom
4.639 0.000 0.000
0.000 4.639 0.000
0.000 0.000 3.871
ATOMIC_POSITIONS angstrom
Be 0.000 0.000 0.000
Tl 0.000 2.320 0.000
Tl 2.320 0.000 0.000
Ni 0.000 0.000 1.936
Ir 2.320 2.320 1.936
```

=====

No. 6
The following is a DFT calculation (GGA-PBEsol) of a relaxed structure of SeBr3O. Values from VASP.

Values from the calculation:
Formation energy (no corrections): 3.25 eV per formula unit
SG: Pm-3m, No. 221

Geometry as Quantum ESPRESSO input:
```
&SYSTEM
  ibrav = 0, nat = 5, ntyp = 3
/
ATOMIC_SPECIES
Se 78.96 Se.upf
Br 79.90 Br.upf
O 16.00 O.upf
CELL_PARAMETERS angstrom
5.197 0.000 0.000
0.000 5.197 0.000
0.000 0.000 5.197
ATOMIC_POSITIONS angstrom
Se 0.000 0.000 0.000
Br 0.000 0.000 2.599
Br 0.000 2.599 0.000
Br 2.599 0.000 0.000
O 2.599 2.599 2.599
```

=====

No. 7
The following is a DFT calculation (GGA-PBEsol) of a relaxed structure of Ba3Sr2. Values from VASP.

Values from the calculation:
SG: R-3m, No. 166
DFT formation energy: 0.015 eV/atom

Geometry as Quantum ESPRESSO input:
```
&SYSTEM
  ibrav = 0, nat = 5, ntyp = 2
/
ATOMIC_SPECIES
Ba 137.33 Ba.upf
Sr 87.62 Sr.upf
CELL_PARAMETERS angstrom
2.139 1.235 17.641
-2.139 1.235 17.641
0.000 -2.470 17.641
ATOMIC_POSITIONS angstrom
Ba 0.000 0.000 0.000
Ba 0.000 0.000 10.624
Ba 0.000 0.000 42.300
Sr 0.000 0.000 21.159
Sr 0.000 0.000 31.766
```

=====

No. 8
The following is a DFT calculation (GGA-PBEsol) of a relaxed structure of CrTc2Rh. Values from VASP.

Values from the calculation:
SG: P4/mmm, No. 123
DFT formation energy: 0.043 eV/atom

Geometry as Quantum ESPRESSO input:
```
&SYSTEM
  ibrav = 0, nat = 4, ntyp = 3
/
ATOMIC_SPECIES
Cr 52.00 Cr.upf
Tc 98.00 Tc.upf
Rh 102.91 Rh.upf
CELL_PARAMETERS angstrom
2.662 0.000 0.000
0.000 2.662 0.000
0.000 0.000 7.432
ATOMIC_POSITIONS angstrom
Cr 0.000 0.000 0.000
Tc 1.331 1.331 1.757
Tc 1.331 1.331 5.675
Rh 0.000 0.000 3.716
```